! GGA-PBE Li2TcP, optimized geometry; values from VASP
&SYSTEM
  ibrav = 0, nat = 4, ntyp = 3
/
ATOMIC_SPECIES
Li 6.94 Li.upf
P 30.97 P.upf
Tc 98.00 Tc.upf
ATOMIC_POSITIONS crystal
Li 0.000 0.000 0.022
Li 0.000 0.000 0.478
P 0.500 0.500 0.250
Tc 0.500 0.500 0.750
CELL_PARAMETERS angstrom
2.533 0.074 0.000
-0.075 2.532 0.000
0.000 0.000 8.412
! - Uncorrected energy: -19.85 eV/f.u.
! - Crystal system: tetragonal
! - ΔH_f (0 K): -0.063 eV per atom
! - Calculated volume: 13.50 A^3/atom
! - SG: No. 123


! GGA-PBE Li2TcP, optimized geometry; values from VASP
&SYSTEM
  ibrav = 0, nat = 4, ntyp = 3
/
ATOMIC_SPECIES
Li 6.94 Li.upf
P 30.97 P.upf
Tc 98.00 Tc.upf
ATOMIC_POSITIONS crystal
Li 0.000 0.000 0.991
Li 0.500 0.500 0.254
P 0.000 0.000 0.540
Tc 0.500 0.500 0.714
CELL_PARAMETERS angstrom
3.116 0.000 0.000
0.000 3.116 0.000
0.000 0.000 5.658
! - Uncorrected energy: -20.92 eV/f.u.
! - Crystal system: tetragonal
! - ΔH_f (0 K): -0.328 eV per atom
! - Calculated volume: 13.73 A^3/atom
! - SG: No. 99


! GGA-PBE LiTc2P2, optimized geometry; values from VASP
&SYSTEM
  ibrav = 0, nat = 5, ntyp = 3
/
ATOMIC_SPECIES
P 30.97 P.upf
Li 6.94 Li.upf
Tc 98.00 Tc.upf
ATOMIC_POSITIONS crystal
P 0.250 0.750 0.500
P 0.750 0.250 0.500
Li 0.000 0.000 0.000
Tc 0.630 0.630 0.741
Tc 0.370 0.370 0.259
CELL_PARAMETERS angstrom
-0.320 -0.689 4.288
2.985 -3.158 -0.285
4.508 1.014 2.711
! - Uncorrected energy: -34.03 eV/f.u.
! - Crystal system: tetragonal
! - ΔH_f (0 K): -0.113 eV per atom
! - Calculated volume: 16.63 A^3/atom
! - Polymorph energy (0 for the lowest one): 424.4 meV per atom
! - SG: No. 139


! GGA-PBE LiY2TcP, optimized geometry; values from VASP
&SYSTEM
  ibrav = 0, nat = 5, ntyp = 4
/
ATOMIC_SPECIES
Tc 98.00 Tc.upf
Y 88.91 Y.upf
P 30.97 P.upf
Li 6.94 Li.upf
ATOMIC_POSITIONS crystal
Tc 0.500 0.500 0.500
Y 0.000 0.000 0.500
Y 0.500 0.000 0.000
P 0.000 0.000 0.000
Li 0.000 0.500 0.000
CELL_PARAMETERS angstrom
-1.066 -5.120 0.831
2.326 -1.039 -3.413
4.306 -0.401 3.056
! - Uncorrected energy: -30.38 eV/f.u.
! - Crystal system: tetragonal
! - ΔH_f (0 K): 0.047 eV per atom
! - Calculated volume: 23.88 A^3/atom
! - SG: No. 123


! GGA-PBE Li2TeP2, optimized geometry; values from VASP
&SYSTEM
  ibrav = 0, nat = 10, ntyp = 3
/
ATOMIC_SPECIES
Te 127.60 Te.upf
Li 6.94 Li.upf
P 30.97 P.upf
ATOMIC_POSITIONS crystal
Te 0.000 0.000 0.000
Te 0.500 0.500 0.000
Li 0.381 0.119 0.500
Li 0.881 0.381 0.500
Li 0.119 0.619 0.500
Li 0.619 0.881 0.500
P 0.819 0.681 0.000
P 0.681 0.181 0.000
P 0.181 0.319 0.000
P 0.319 0.819 0.000
CELL_PARAMETERS angstrom
-4.174 -5.742 3.255
6.597 -3.755 1.835
0.081 1.397 2.567
! - Uncorrected energy: -18.48 eV/f.u.
! - Crystal system: tetragonal
! - E_form (uncorrected): -0.1386 eV/atom
! - Calculated volume: 17.83 A^3/atom
! - Polymorph energy (0 for the lowest one): 12.7 meV per atom
! - SG: No. 127


! GGA-PBE LiTeP3, optimized geometry; values from VASP
&SYSTEM
  ibrav = 0, nat = 5, ntyp = 3
/
ATOMIC_SPECIES
P 30.97 P.upf
Li 6.94 Li.upf
Te 127.60 Te.upf
ATOMIC_POSITIONS crystal
P 0.000 0.500 0.000
P 0.500 0.000 0.000
P 0.000 0.000 0.500
Li 0.000 0.000 0.000
Te 0.500 0.500 0.500
CELL_PARAMETERS angstrom
4.488 0.000 0.000
0.000 4.488 0.000
0.000 0.000 4.488
! - Uncorrected energy: -17.22 eV/f.u.
! - Crystal system: cubic
! - E_form (uncorrected): 0.8133 eV/atom
! - Calculated volume: 18.08 A^3/atom
! - Polymorph energy (0 for the lowest one): 0.0 meV per atom
! - SG: No. 221


! GGA-PBE LiTeP4, optimized geometry; values from VASP
&SYSTEM
  ibrav = 0, nat = 6, ntyp = 3
/
ATOMIC_SPECIES
Te 127.60 Te.upf
P 30.97 P.upf
Li 6.94 Li.upf
ATOMIC_POSITIONS crystal
Te 0.750 0.750 0.750
P 0.406 0.406 0.406
P 0.782 0.406 0.406
P 0.406 0.782 0.406
P 0.406 0.406 0.782
Li 0.000 0.000 0.000
CELL_PARAMETERS angstrom
-2.810 -3.828 3.535
-1.293 1.519 5.574
-5.621 0.997 1.569
! - Uncorrected energy: -25.40 eV/f.u.
! - Crystal system: cubic
! - E_form (uncorrected): 0.2153 eV/atom
! - Calculated volume: 24.46 A^3/atom
! - SG: No. 216


! GGA-PBE LiTeP2, optimized geometry; values from VASP
&SYSTEM
  ibrav = 0, nat = 4, ntyp = 3
/
ATOMIC_SPECIES
Te 127.60 Te.upf
P 30.97 P.upf
Li 6.94 Li.upf
ATOMIC_POSITIONS crystal
Te 0.533 0.533 0.399
P 0.013 0.013 0.905
P 0.634 0.634 0.973
Li 0.320 0.320 0.223
CELL_PARAMETERS angstrom
5.125 0.044 -0.022
4.102 3.073 -0.022
3.147 1.063 6.333
! - Uncorrected energy: -16.55 eV/f.u.
! - Crystal system: monoclinic
! - E_form (uncorrected): -0.1699 eV/atom
! - Calculated volume: 24.71 A^3/atom
! - SG: No. 8


! GGA-PBE LiTe2P, optimized geometry; values from VASP
&SYSTEM
  ibrav = 0, nat = 4, ntyp = 3
/
ATOMIC_SPECIES
Te 127.60 Te.upf
Li 6.94 Li.upf
P 30.97 P.upf
ATOMIC_POSITIONS crystal
Te 0.746 0.746 0.662
Te 0.020 0.020 0.047
Li 0.531 0.531 0.563
P 0.203 0.203 0.228
CELL_PARAMETERS angstrom
-3.618 4.137 -4.725
-4.987 0.452 -5.240
-2.297 0.373 3.435
! - Uncorrected energy: -14.60 eV/f.u.
! - Crystal system: monoclinic
! - E_form (uncorrected): -0.2486 eV/atom
! - Calculated volume: 27.97 A^3/atom
! - SG: No. 8


! GGA-PBE LiTeP2, optimized geometry; values from VASP
&SYSTEM
  ibrav = 0, nat = 4, ntyp = 3
/
ATOMIC_SPECIES
Te 127.60 Te.upf
P 30.97 P.upf
Li 6.94 Li.upf
ATOMIC_POSITIONS crystal
Te 0.500 0.500 0.250
P 0.000 0.000 0.988
P 0.000 0.000 0.512
Li 0.500 0.500 0.750
CELL_PARAMETERS angstrom
-2.737 -1.115 -1.492
-0.348 -0.045 3.292
-2.773 7.071 -0.196
! - Uncorrected energy: -14.40 eV/f.u.
! - Crystal system: orthorhombic
! - E_form (uncorrected): 0.3682 eV/atom
! - Calculated volume: 19.45 A^3/atom
! - SG: No. 65


! GGA-PBE LiTeP2, optimized geometry; values from VASP
&SYSTEM
  ibrav = 0, nat = 4, ntyp = 3
/
ATOMIC_SPECIES
Li 6.94 Li.upf
P 30.97 P.upf
Te 127.60 Te.upf
ATOMIC_POSITIONS crystal
Li 0.750 0.750 0.750
P 0.009 0.009 0.009
P 0.491 0.491 0.491
Te 0.250 0.250 0.250
CELL_PARAMETERS angstrom
-8.368 -0.820 -2.994
-7.557 -3.821 -2.820
-8.608 -2.343 -0.289
! - Uncorrected energy: -14.03 eV/f.u.
! - Crystal system: trigonal
! - E_form (uncorrected): 0.4609 eV/atom
! - Calculated volume: 18.35 A^3/atom
! - SG: No. 166


! GGA-PBE LiTe3P, optimized geometry; values from VASP
&SYSTEM
  ibrav = 0, nat = 5, ntyp = 3
/
ATOMIC_SPECIES
Li 6.94 Li.upf
Te 127.60 Te.upf
P 30.97 P.upf
ATOMIC_POSITIONS crystal
Li 0.000 0.000 0.000
Te 0.500 0.000 0.000
Te 0.000 0.000 0.500
Te 0.000 0.500 0.000
P 0.500 0.500 0.500
CELL_PARAMETERS angstrom
-3.310 -3.645 0.763
2.491 -1.409 4.078
-2.768 3.091 2.758
! - Uncorrected energy: -13.72 eV/f.u.
! - Crystal system: cubic
! - E_form (uncorrected): 0.6049 eV/atom
! - Calculated volume: 24.73 A^3/atom
! - Polymorph energy (0 for the lowest one): 452.0 meV per atom
! - SG: No. 221